Record 1
{"formula": "Ta2RhW", "functional": "GGA-PBE", "state": "optimized geometry", "cell": [[1.644, 4.918, 0.523], [-1.644, 4.918, 0.523], [0.000, 1.748, 4.317]], "species": ["Ta", "Ta", "Rh", "W"], "frac_coords": [[0.251, 0.251, 0.749], [0.749, 0.749, 0.251], [0.500, 0.500, 0.000], [0.000, 0.000, 0.500]], "dos_at_fermi_per_ev_atom": 1.0767, "formation_energy_kj_per_mol_atoms": -10.14, "total_magnetization_mub_per_atom": 0.00, "e_tot_ev_per_atom": -11.11}



Record 2
{"formula": "Ta3RhW2", "functional": "GGA-PBE", "state": "optimized geometry", "cell": [[3.243, 0.000, 0.000], [0.000, 3.243, 0.000], [0.000, 0.000, 9.609]], "species": ["Ta", "Ta", "Ta", "Rh", "W", "W"], "frac_coords": [[0.000, 0.000, 0.000], [0.000, 0.000, 0.668], [0.000, 0.000, 0.332], [0.500, 0.500, 0.500], [0.500, 0.500, 0.829], [0.500, 0.500, 0.171]], "dos_at_fermi_per_ev_atom": 0.6109, "formation_energy_kj_per_mol_atoms": -21.88, "total_magnetization_mub_per_atom": 0.00, "e_tot_ev_per_atom": -11.70}



Record 3
{"formula": "Ta2RhW", "functional": "GGA-PBE", "state": "optimized geometry", "cell": [[3.283, 0.000, 0.000], [0.000, 4.503, 0.000], [0.000, 0.000, 4.503]], "species": ["Rh", "W", "Ta", "Ta"], "frac_coords": [[0.500, 0.000, 0.500], [0.500, 0.500, 0.000], [0.000, 0.000, 0.000], [0.000, 0.500, 0.500]], "dos_at_fermi_per_ev_atom": 0.9469, "formation_energy_kj_per_mol_atoms": -25.49, "total_magnetization_mub_per_atom": 0.00, "e_tot_ev_per_atom": -11.27}



Record 4
{"formula": "TaRhW3", "functional": "GGA-PBE", "state": "optimized geometry", "cell": [[4.661, 0.000, 0.000], [0.000, 4.661, 0.000], [0.000, 0.000, 4.661]], "species": ["Rh", "W", "W", "W", "Ta"], "frac_coords": [[0.000, 0.000, 0.000], [0.000, 0.500, 0.000], [0.000, 0.000, 0.500], [0.500, 0.000, 0.000], [0.500, 0.500, 0.500]], "dos_at_fermi_per_ev_atom": 0.8916, "formation_energy_kj_per_mol_atoms": 183.45, "total_magnetization_mub_per_atom": 0.00, "e_tot_ev_per_atom": -9.71}



Record 5
{"formula": "YTaRh", "functional": "GGA-PBE", "state": "optimized geometry", "cell": [[-2.796, 1.966, -3.046], [-4.396, 0.717, 1.058], [-1.520, 4.261, 0.705]], "species": ["Rh", "Ta", "Y"], "frac_coords": [[0.750, 0.750, 0.750], [0.000, 0.000, 0.000], [0.500, 0.500, 0.500]], "dos_at_fermi_per_ev_atom": 1.0902, "formation_energy_kj_per_mol_atoms": 4.16, "total_magnetization_mub_per_atom": 0.00, "e_tot_ev_per_atom": -8.51}



Record 6
{"formula": "YTa2Rh", "functional": "GGA-PBE", "state": "optimized geometry", "cell": [[-2.146, -3.930, 3.448], [2.694, -0.712, 4.916], [-2.918, 3.475, -3.367]], "species": ["Rh", "Ta", "Ta", "Y"], "frac_coords": [[0.767, 0.267, 0.500], [0.987, 0.987, 0.000], [0.233, 0.733, 0.500], [0.512, 0.512, 0.000]], "dos_at_fermi_per_ev_atom": 0.9893, "formation_energy_kj_per_mol_atoms": 5.71, "total_magnetization_mub_per_atom": 0.00, "e_tot_ev_per_atom": -9.32}



Record 7
{"formula": "YTa2Rh", "functional": "GGA-PBE", "state": "optimized geometry", "cell": [[1.596, -3.577, -2.604], [2.752, -3.281, 1.946], [-1.658, -4.345, 0.704]], "species": ["Y", "Rh", "Ta", "Ta"], "frac_coords": [[0.000, 0.000, 0.000], [0.500, 0.500, 0.500], [0.250, 0.250, 0.250], [0.750, 0.750, 0.750]], "dos_at_fermi_per_ev_atom": 1.5495, "formation_energy_kj_per_mol_atoms": 23.28, "total_magnetization_mub_per_atom": 0.00, "e_tot_ev_per_atom": -9.14}



Record 8
{"formula": "Y3TaRh", "functional": "GGA-PBE", "state": "optimized geometry", "cell": [[-0.103, -1.036, 5.172], [-4.602, -2.511, -0.595], [2.579, -4.523, -0.854]], "species": ["Y", "Y", "Y", "Rh", "Ta"], "frac_coords": [[0.000, 0.500, 0.000], [0.000, 0.000, 0.500], [0.500, 0.000, 0.000], [0.000, 0.000, 0.000], [0.500, 0.500, 0.500]], "dos_at_fermi_per_ev_atom": 1.0936, "formation_energy_kj_per_mol_atoms": 38.31, "total_magnetization_mub_per_atom": 0.51, "e_tot_ev_per_atom": -7.32}



Record 9
{"formula": "YTa2Rh", "functional": "GGA-PBE", "state": "optimized geometry", "cell": [[-3.323, -7.070, -0.558], [1.893, -0.291, -7.594], [1.718, -4.875, -3.423]], "species": ["Y", "Y", "Rh", "Rh", "Ta", "Ta", "Ta", "Ta"], "frac_coords": [[0.500, 0.500, 0.000], [0.250, 0.750, 0.500], [0.000, 0.000, 0.000], [0.750, 0.250, 0.500], [0.681, 0.125, 0.250], [0.069, 0.625, 0.250], [0.375, 0.319, 0.750], [0.875, 0.931, 0.750]], "dos_at_fermi_per_ev_atom": 1.2352, "formation_energy_kj_per_mol_atoms": 27.29, "total_magnetization_mub_per_atom": 0.00, "e_tot_ev_per_atom": -9.10}



Record 10
{"formula": "Y2TaRh", "functional": "GGA-PBE", "state": "optimized geometry", "cell": [[3.627, 0.000, 0.000], [0.000, 4.820, -0.009], [0.000, 2.426, 5.626]], "species": ["Rh", "Ta", "Y", "Y"], "frac_coords": [[0.000, 0.708, 0.460], [0.500, 0.561, 0.754], [0.000, 0.966, 0.942], [0.500, 0.265, 0.344]], "dos_at_fermi_per_ev_atom": 1.3896, "formation_energy_kj_per_mol_atoms": -15.58, "total_magnetization_mub_per_atom": 0.00, "e_tot_ev_per_atom": -8.19}



Record 11
{"formula": "YTa2Rh", "functional": "GGA-PBE", "state": "optimized geometry", "cell": [[-4.393, -2.110, -2.005], [-2.065, -3.041, -3.777], [-0.420, -5.003, 2.075]], "species": ["Rh", "Ta", "Ta", "Y"], "frac_coords": [[0.272, 0.272, 0.224], [0.985, 0.985, 0.991], [0.726, 0.726, 0.816], [0.517, 0.517, 0.469]], "dos_at_fermi_per_ev_atom": 0.5687, "formation_energy_kj_per_mol_atoms": 4.01, "total_magnetization_mub_per_atom": 0.00, "e_tot_ev_per_atom": -9.34}



Record 12
{"formula": "YTaRh2", "functional": "GGA-PBE", "state": "optimized geometry", "cell": [[5.292, -0.021, -0.464], [4.353, 3.010, -0.464], [0.399, 0.124, 4.538]], "species": ["Rh", "Rh", "Ta", "Y"], "frac_coords": [[0.970, 0.970, 0.125], [0.787, 0.787, 0.625], [0.513, 0.513, 0.625], [0.231, 0.231, 0.125]], "dos_at_fermi_per_ev_atom": 0.5031, "formation_energy_kj_per_mol_atoms": -49.03, "total_magnetization_mub_per_atom": 0.00, "e_tot_ev_per_atom": -8.76}



Record 13
{"formula": "YTa3Rh", "functional": "GGA-PBE", "state": "optimized geometry", "cell": [[-1.989, 1.663, 4.144], [-4.451, -0.380, -1.984], [-0.353, -4.581, 1.669]], "species": ["Y", "Rh", "Ta", "Ta", "Ta"], "frac_coords": [[0.500, 0.500, 0.500], [0.000, 0.000, 0.000], [0.000, 0.500, 0.000], [0.000, 0.000, 0.500], [0.500, 0.000, 0.000]], "dos_at_fermi_per_ev_atom": 1.8229, "formation_energy_kj_per_mol_atoms": 76.45, "total_magnetization_mub_per_atom": 0.00, "e_tot_ev_per_atom": -9.08}



Record 14
{"formula": "YTa2Rh", "functional": "GGA-PBE", "state": "optimized geometry", "cell": [[-1.443, 2.551, 0.672], [-2.431, -0.989, -1.469], [-2.942, -3.582, 7.278]], "species": ["Rh", "Ta", "Ta", "Y"], "frac_coords": [[0.500, 0.500, 0.750], [0.000, 0.000, 0.958], [0.000, 0.000, 0.542], [0.500, 0.500, 0.250]], "dos_at_fermi_per_ev_atom": 1.1888, "formation_energy_kj_per_mol_atoms": 5.81, "total_magnetization_mub_per_atom": 0.00, "e_tot_ev_per_atom": -9.32}



Record 15
{"formula": "Y2TaRh", "functional": "GGA-PBE", "state": "optimized geometry", "cell": [[-7.363, 1.187, -6.024], [-8.960, -0.074, -3.410], [-8.320, 3.173, -3.552]], "species": ["Rh", "Ta", "Y", "Y"], "frac_coords": [[0.250, 0.250, 0.250], [0.750, 0.750, 0.750], [0.992, 0.992, 0.992], [0.508, 0.508, 0.508]], "dos_at_fermi_per_ev_atom": 1.3041, "formation_energy_kj_per_mol_atoms": 7.23, "total_magnetization_mub_per_atom": 0.00, "e_tot_ev_per_atom": -7.96}



Record 16
{"formula": "Y2TaRh", "functional": "GGA-PBE", "state": "optimized geometry", "cell": [[3.935, -1.624, 2.673], [-0.259, -0.148, 5.018], [-0.229, -4.424, 2.375]], "species": ["Y", "Y", "Rh", "Ta"], "frac_coords": [[0.250, 0.250, 0.250], [0.750, 0.750, 0.750], [0.000, 0.000, 0.000], [0.500, 0.500, 0.500]], "dos_at_fermi_per_ev_atom": 0.8621, "formation_energy_kj_per_mol_atoms": 11.78, "total_magnetization_mub_per_atom": 0.77, "e_tot_ev_per_atom": -7.91}



Record 17
{"formula": "Y2TaRh", "functional": "GGA-PBE", "state": "optimized geometry", "cell": [[3.362, 0.000, 0.000], [0.000, 3.374, 0.012], [0.000, 3.353, 7.820]], "species": ["Rh", "Ta", "Y", "Y"], "frac_coords": [[0.500, 0.250, 0.250], [0.500, 0.750, 0.750], [0.000, 0.973, 0.027], [0.000, 0.527, 0.473]], "dos_at_fermi_per_ev_atom": 0.9682, "formation_energy_kj_per_mol_atoms": -10.90, "total_magnetization_mub_per_atom": 0.00, "e_tot_ev_per_atom": -8.15}



Record 18
{"formula": "YTaRh2", "functional": "GGA-PBE", "state": "optimized geometry", "cell": [[-1.038, 8.879, 0.513], [-1.245, 8.463, -2.646], [-3.825, 8.055, -0.810]], "species": ["Rh", "Rh", "Ta", "Y"], "frac_coords": [[0.997, 0.997, 0.997], [0.247, 0.247, 0.247], [0.514, 0.514, 0.514], [0.743, 0.743, 0.743]], "dos_at_fermi_per_ev_atom": 1.0433, "formation_energy_kj_per_mol_atoms": 9.82, "total_magnetization_mub_per_atom": 0.08, "e_tot_ev_per_atom": -8.15}



Record 19
{"formula": "YTa2Rh", "functional": "GGA-PBE", "state": "optimized geometry", "cell": [[5.571, 0.010, 0.000], [-2.945, 4.729, 0.000], [0.000, 0.000, 2.929]], "species": ["Rh", "Ta", "Ta", "Y"], "frac_coords": [[0.000, 0.500, 0.500], [0.000, 0.000, 0.000], [0.500, 0.500, 0.000], [0.500, 0.000, 0.500]], "dos_at_fermi_per_ev_atom": 1.1800, "formation_energy_kj_per_mol_atoms": 20.41, "total_magnetization_mub_per_atom": 0.00, "e_tot_ev_per_atom": -9.17}



Record 20
{"formula": "YTaRh2", "functional": "GGA-PBE", "state": "optimized geometry", "cell": [[-1.099, -0.552, 4.458], [-4.146, -1.681, 1.168], [-0.352, -4.251, 1.786]], "species": ["Rh", "Rh", "Ta", "Y"], "frac_coords": [[0.000, 0.000, 0.000], [0.750, 0.750, 0.750], [0.500, 0.500, 0.500], [0.250, 0.250, 0.250]], "dos_at_fermi_per_ev_atom": 1.1994, "formation_energy_kj_per_mol_atoms": -7.41, "total_magnetization_mub_per_atom": 0.00, "e_tot_ev_per_atom": -8.33}